Record 1
Density functional theory data (PBE) for a relaxed structure of TiMnNbRh.

Summary:
The offset from the most stable computed form comes out at 0.0 meV/atom. The formation energy comes out at -0.408 eV per atom.

Structure (CIF):
```
data_TiMnNbRh
_chemical_formula_sum 'Ti1 Mn1 Nb1 Rh1'
_cell_length_a 3.019
_cell_length_b 3.019
_cell_length_c 6.430
_cell_angle_alpha 90.00
_cell_angle_beta 90.00
_cell_angle_gamma 90.00
_symmetry_space_group_name_H-M 'P 1'
_symmetry_Int_Tables_number 1
loop_
_symmetry_equiv_pos_as_xyz
'x,y,z'
loop_
_atom_site_label
_atom_site_fract_x
_atom_site_fract_y
_atom_site_fract_z
Ti1 0.000 0.000 0.000
Mn1 0.500 0.500 0.222
Nb1 0.000 0.000 0.462
Rh1 0.500 0.500 0.751
```

Record 2
Density functional theory data (PBE) for a relaxed structure of HgPSeO2.

Summary:
The offset from the most stable computed form comes out at 747.4 meV/atom.

Structure (CIF):
```
data_HgPSeO2
_chemical_formula_sum 'Hg1 P1 Se1 O2'
_cell_length_a 4.067
_cell_length_b 4.067
_cell_length_c 5.559
_cell_angle_alpha 90.00
_cell_angle_beta 90.00
_cell_angle_gamma 90.00
_symmetry_space_group_name_H-M 'P 1'
_symmetry_Int_Tables_number 1
loop_
_symmetry_equiv_pos_as_xyz
'x,y,z'
loop_
_atom_site_label
_atom_site_fract_x
_atom_site_fract_y
_atom_site_fract_z
Hg1 0.000 0.000 0.000
P1 0.000 0.000 0.500
Se1 0.500 0.500 0.500
O1 0.000 0.500 0.000
O2 0.500 0.000 0.000
```

Record 3
Density functional theory data (PBE) for a relaxed structure of CsZn2ReTe.

Structure (CIF):
```
data_CsZn2ReTe
_chemical_formula_sum 'Cs1 Zn2 Re1 Te1'
_cell_length_a 5.452
_cell_length_b 5.452
_cell_length_c 7.429
_cell_angle_alpha 90.00
_cell_angle_beta 90.00
_cell_angle_gamma 90.00
_symmetry_space_group_name_H-M 'P 1'
_symmetry_Int_Tables_number 1
loop_
_symmetry_equiv_pos_as_xyz
'x,y,z'
loop_
_atom_site_label
_atom_site_fract_x
_atom_site_fract_y
_atom_site_fract_z
Cs1 0.000 0.000 0.000
Zn1 0.000 0.500 0.500
Zn2 0.500 0.000 0.500
Re1 0.500 0.500 0.000
Te1 0.000 0.000 0.500
```

Record 4
Density functional theory data (PBE) for a relaxed structure of Y2TlFe.

Summary:
The formation energy comes out at -0.124 eV per atom.

Structure (CIF):
```
data_Y2TlFe
_chemical_formula_sum 'Y2 Tl1 Fe1'
_cell_length_a 3.492
_cell_length_b 3.492
_cell_length_c 7.854
_cell_angle_alpha 90.00
_cell_angle_beta 90.00
_cell_angle_gamma 90.15
_symmetry_space_group_name_H-M 'P 1'
_symmetry_Int_Tables_number 1
loop_
_symmetry_equiv_pos_as_xyz
'x,y,z'
loop_
_atom_site_label
_atom_site_fract_x
_atom_site_fract_y
_atom_site_fract_z
Y1 0.000 0.000 0.210
Y2 0.000 0.000 0.790
Tl1 0.500 0.500 0.500
Fe1 0.500 0.500 0.000
```

Record 5
Density functional theory data (PBE) for a relaxed structure of GaBSbTe2.

Summary:
The offset from the most stable computed form comes out at 704.5 meV/atom.

Structure (CIF):
```
data_GaBSbTe2
_chemical_formula_sum 'Ga1 B1 Sb1 Te2'
_cell_length_a 5.416
_cell_length_b 5.416
_cell_length_c 5.234
_cell_angle_alpha 90.00
_cell_angle_beta 90.00
_cell_angle_gamma 90.00
_symmetry_space_group_name_H-M 'P 1'
_symmetry_Int_Tables_number 1
loop_
_symmetry_equiv_pos_as_xyz
'x,y,z'
loop_
_atom_site_label
_atom_site_fract_x
_atom_site_fract_y
_atom_site_fract_z
Ga1 0.000 0.000 0.000
B1 0.500 0.500 0.500
Sb1 0.000 0.000 0.500
Te1 0.000 0.500 0.000
Te2 0.500 0.000 0.000
```

Record 6
Density functional theory data (PBE) for a relaxed structure of ThCd3Ag.

Summary:
The offset from the most stable computed form comes out at 0.0 meV/atom. The formation energy comes out at -0.087 eV per atom.

Structure (CIF):
```
data_ThCd3Ag
_chemical_formula_sum 'Th2 Cd6 Ag2'
_cell_length_a 6.869
_cell_length_b 4.735
_cell_length_c 7.667
_cell_angle_alpha 90.00
_cell_angle_beta 107.80
_cell_angle_gamma 90.00
_symmetry_space_group_name_H-M 'P 1'
_symmetry_Int_Tables_number 1
loop_
_symmetry_equiv_pos_as_xyz
'x,y,z'
loop_
_atom_site_label
_atom_site_fract_x
_atom_site_fract_y
_atom_site_fract_z
Th1 0.165 0.250 0.205
Th2 0.835 0.750 0.795
Cd1 0.154 0.250 0.771
Cd2 0.355 0.750 0.974
Cd3 0.492 0.250 0.624
Cd4 0.508 0.750 0.376
Cd5 0.645 0.250 0.026
Cd6 0.846 0.750 0.229
Ag1 0.190 0.750 0.554
Ag2 0.810 0.250 0.446
```

Record 7
Density functional theory data (PBE) for a relaxed structure of Hf2Ga2Si.

Structure (CIF):
```
data_Hf2Ga2Si
_chemical_formula_sum 'Hf4 Ga4 Si2'
_cell_length_a 6.904
_cell_length_b 6.904
_cell_length_c 4.120
_cell_angle_alpha 90.00
_cell_angle_beta 90.00
_cell_angle_gamma 90.00
_symmetry_space_group_name_H-M 'P 1'
_symmetry_Int_Tables_number 1
loop_
_symmetry_equiv_pos_as_xyz
'x,y,z'
loop_
_atom_site_label
_atom_site_fract_x
_atom_site_fract_y
_atom_site_fract_z
Hf1 0.165 0.335 0.000
Hf2 0.335 0.835 0.000
Hf3 0.665 0.165 0.000
Hf4 0.835 0.665 0.000
Ga1 0.140 0.640 0.500
Ga2 0.360 0.140 0.500
Ga3 0.640 0.860 0.500
Ga4 0.860 0.360 0.500
Si1 0.000 0.000 0.000
Si2 0.500 0.500 0.000
```

Record 8
Density functional theory data (PBE) for a relaxed structure of BeCr2Tc.

Summary:
The formation energy comes out at 0.030 eV per atom.

Structure (CIF):
```
data_BeCr2Tc
_chemical_formula_sum 'Be1 Cr2 Tc1'
_cell_length_a 4.686
_cell_length_b 4.686
_cell_length_c 4.686
_cell_angle_alpha 143.68
_cell_angle_beta 128.64
_cell_angle_gamma 64.53
_symmetry_space_group_name_H-M 'P 1'
_symmetry_Int_Tables_number 1
loop_
_symmetry_equiv_pos_as_xyz
'x,y,z'
loop_
_atom_site_label
_atom_site_fract_x
_atom_site_fract_y
_atom_site_fract_z
Be1 0.000 0.000 0.000
Cr1 0.255 0.755 0.500
Cr2 0.488 0.488 0.000
Tc1 0.738 0.238 0.500
```

Energy, record by record: -9.03; -2.99; -2.38; -6.06; -2.70; -2.69; -6.58; -8.30 eV per atom